Computed, not measured: crystalline UHg2Cl5F4 at its relaxed geometry at the GGA-PBE level of DFT.

Computed properties:
D(E_F) ... 3.93 states/eV per cell
Formation energy without anion corrections ... -38.61 kcal/mol of atoms
Volume ... 313 Å³ per cell
DFT total energy ... -4.0586 eV per atom
Symmetry ... Amm2, No. 38

a b c (Å): 7.8053 7.0995 6.7724
angles (deg): 90.00 90.00 123.35
Each line ends with the local moment (μB).
Positions (direct):
1 U 0.4056 0.0000 0.0000  1.08
2 Hg 0.9626 0.5502 0.5000  0.00
3 Hg 0.4123 0.4498 0.5000  0.00
4 Cl 0.2060 0.5231 0.2435  -0.01
5 Cl 0.2434 0.0000 0.5000  -0.01
6 Cl 0.2060 0.5231 0.7565  -0.01
7 Cl 0.6829 0.4769 0.7565  -0.01
8 Cl 0.6829 0.4769 0.2435  -0.01
9 F 0.5998 0.0000 0.2005  -0.02
10 F 0.5998 0.0000 0.7995  -0.02
11 F 0.3096 0.2147 0.0000  -0.02
12 F 0.0949 0.7853 0.0000  -0.02